[1]
# PBE CrCo2SiH, relaxed
data_CrCo2SiH
_cell_length_a 3.615
_cell_length_b 3.615
_cell_length_c 3.602
_cell_angle_alpha 90.00
_cell_angle_beta 90.00
_cell_angle_gamma 90.00
_space_group_name_H-M_alt 'P 4/m m m'
_space_group_IT_number 123
_space_group_name_Hall '-P 4 2'
loop_
_atom_site_label
_atom_site_type_symbol
_atom_site_fract_x
_atom_site_fract_y
_atom_site_fract_z
_atom_site_occupancy
Cr1 Cr 0.000 0.000 0.000 1
Co1 Co 0.000 0.500 0.500 1
Si1 Si 0.500 0.500 0.000 1
H1 H 0.000 0.000 0.500 1
# Fermi-level density of states	0.65	states/eV per atom
# crystal system	tetragonal
# V	47.1	Å³ per cell
# total magnetization	3.119	μB per cell
# DFT total energy	-6.73	eV/atom


[2]
# PBE Tb6Pm2PrTm, relaxed
data_Tb6Pm2PrTm
_cell_length_a 9.107
_cell_length_b 15.121
_cell_length_c 9.696
_cell_angle_alpha 90.00
_cell_angle_beta 98.07
_cell_angle_gamma 90.00
_space_group_name_H-M_alt 'C 1 2/c 1'
_space_group_IT_number 15
_space_group_name_Hall '-C 2yc'
loop_
_atom_site_label
_atom_site_type_symbol
_atom_site_fract_x
_atom_site_fract_y
_atom_site_fract_z
_atom_site_occupancy
Tb1 Tb 0.066 0.190 0.443 1
Tb2 Tb 0.099 0.393 0.619 1
Tb3 Tb 0.207 0.224 0.814 1
Pm1 Pm 0.249 0.051 0.044 1
Pr1 Pr 0.000 0.020 0.750 1
Tm1 Tm 0.000 0.408 0.250 1
# Fermi-level density of states	1.39	states/eV per atom
# crystal system	monoclinic
# V	1321.9	Å³ per cell
# total magnetization	0.000	μB per cell
# formation enthalpy at 0 K	1.15	eV per formula unit
# DFT total energy	-4.54	eV/atom


[3]
# PBE CrNi6H8, relaxed
data_CrNi6H8
_cell_length_a 2.778
_cell_length_b 6.631
_cell_length_c 6.643
_cell_angle_alpha 119.89
_cell_angle_beta 90.18
_cell_angle_gamma 90.12
_space_group_name_H-M_alt 'P -1'
_space_group_IT_number 2
_space_group_name_Hall '-P 1'
loop_
_atom_site_label
_atom_site_type_symbol
_atom_site_fract_x
_atom_site_fract_y
_atom_site_fract_z
_atom_site_occupancy
Cr1 Cr 0.000 0.000 0.000 1
Ni1 Ni 0.302 0.295 0.412 1
Ni2 Ni 0.305 0.589 0.884 1
Ni3 Ni 0.306 0.116 0.705 1
H1 H 0.197 0.348 0.958 1
H2 H 0.199 0.042 0.392 1
H3 H 0.201 0.608 0.650 1
H4 H 0.483 0.334 0.667 1
# Fermi-level density of states	0.36	states/eV per atom
# crystal system	triclinic
# V	106.1	Å³ per cell
# total magnetization	3.593	μB per cell
# DFT total energy	-4.67	eV/atom


[4]
# PBE Ba2MnRe, relaxed
data_Ba2MnRe
_cell_length_a 7.664
_cell_length_b 7.664
_cell_length_c 7.664
_cell_angle_alpha 90.00
_cell_angle_beta 90.00
_cell_angle_gamma 90.00
_space_group_name_H-M_alt 'F m -3 m'
_space_group_IT_number 225
_space_group_name_Hall '-F 4 2 3'
loop_
_atom_site_label
_atom_site_type_symbol
_atom_site_fract_x
_atom_site_fract_y
_atom_site_fract_z
_atom_site_occupancy
Ba1 Ba 0.250 0.250 0.250 1
Mn1 Mn 0.000 0.000 0.000 1
Re1 Re 0.000 0.000 0.500 1
# Fermi-level density of states	3.57	states/eV per atom
# crystal system	cubic
# V	450.2	Å³ per cell
# total magnetization	6.638	μB per cell
# formation enthalpy at 0 K	7.21	eV per formula unit
# offset from the most stable computed form	1.332	eV/atom
# DFT total energy	-4.56	eV/atom


[5]
# PBE La4Zn3Ir, relaxed
data_La4Zn3Ir
_cell_length_a 15.783
_cell_length_b 5.231
_cell_length_c 5.241
_cell_angle_alpha 90.00
_cell_angle_beta 108.56
_cell_angle_gamma 90.00
_space_group_name_H-M_alt 'C 1 2/m 1'
_space_group_IT_number 12
_space_group_name_Hall '-C 2y'
loop_
_atom_site_label
_atom_site_type_symbol
_atom_site_fract_x
_atom_site_fract_y
_atom_site_fract_z
_atom_site_occupancy
La1 La 0.119 0.000 0.118 1
La2 La 0.119 0.500 0.632 1
Zn1 Zn 0.000 0.000 0.500 1
Zn2 Zn 0.246 0.000 0.733 1
Ir1 Ir 0.000 0.500 0.000 1
# Fermi-level density of states	0.83	states/eV per atom
# crystal system	monoclinic
# V	410.2	Å³ per cell
# total magnetization	0.000	μB per cell
# formation enthalpy at 0 K	-3.24	eV per formula unit
# DFT total energy	-4.45	eV/atom


[6]
# PBE Tb6PmPr2Sm, relaxed
data_Tb6PmPr2Sm
_cell_length_a 9.099
_cell_length_b 15.145
_cell_length_c 9.888
_cell_angle_alpha 90.00
_cell_angle_beta 99.55
_cell_angle_gamma 90.00
_space_group_name_H-M_alt 'C 1 2/c 1'
_space_group_IT_number 15
_space_group_name_Hall '-C 2yc'
loop_
_atom_site_label
_atom_site_type_symbol
_atom_site_fract_x
_atom_site_fract_y
_atom_site_fract_z
_atom_site_occupancy
Tb1 Tb 0.069 0.191 0.443 1
Tb2 Tb 0.100 0.395 0.620 1
Tb3 Tb 0.199 0.224 0.814 1
Pm1 Pm 0.000 0.405 0.250 1
Pr1 Pr 0.240 0.051 0.041 1
Sm1 Sm 0.000 0.016 0.750 1
# Fermi-level density of states	1.52	states/eV per atom
# crystal system	monoclinic
# V	1343.8	Å³ per cell
# total magnetization	0.000	μB per cell
# formation enthalpy at 0 K	1.19	eV per formula unit
# DFT total energy	-4.56	eV/atom


[7]
# PBE Nb2V2Sn, relaxed
data_Nb2V2Sn
_cell_length_a 7.136
_cell_length_b 7.136
_cell_length_c 3.396
_cell_angle_alpha 90.00
_cell_angle_beta 90.00
_cell_angle_gamma 90.00
_space_group_name_H-M_alt 'P 4/m b m'
_space_group_IT_number 127
_space_group_name_Hall '-P 4 2ab'
loop_
_atom_site_label
_atom_site_type_symbol
_atom_site_fract_x
_atom_site_fract_y
_atom_site_fract_z
_atom_site_occupancy
Nb1 Nb 0.193 0.307 0.000 1
V1 V 0.107 0.607 0.500 1
Sn1 Sn 0.000 0.000 0.500 1
# Fermi-level density of states	0.64	states/eV per atom
# crystal system	tetragonal
# V	172.9	Å³ per cell
# total magnetization	0.000	μB per cell
# formation enthalpy at 0 K	0.42	eV per formula unit
# DFT total energy	-8.39	eV/atom


[8]
# PBE LiSm2Ge3Ir4, relaxed
data_LiSm2Ge3Ir4
_cell_length_a 4.150
_cell_length_b 4.150
_cell_length_c 10.526
_cell_angle_alpha 90.00
_cell_angle_beta 90.00
_cell_angle_gamma 90.00
_space_group_name_H-M_alt 'P -4 m 2'
_space_group_IT_number 115
_space_group_name_Hall 'P -4 -2'
loop_
_atom_site_label
_atom_site_type_symbol
_atom_site_fract_x
_atom_site_fract_y
_atom_site_fract_z
_atom_site_occupancy
Li1 Li 0.000 0.000 0.000 1
Sm1 Sm 0.000 0.500 0.752 1
Ge1 Ge 0.000 0.500 0.370 1
Ge2 Ge 0.500 0.500 0.000 1
Ir1 Ir 0.000 0.000 0.500 1
Ir2 Ir 0.000 0.500 0.137 1
Ir3 Ir 0.500 0.500 0.500 1
# Fermi-level density of states	0.42	states/eV per atom
# crystal system	tetragonal
# V	181.3	Å³ per cell
# total magnetization	0.000	μB per cell
# formation enthalpy at 0 K	-7.24	eV per formula unit
# DFT total energy	-6.79	eV/atom


[9]
# PBE Zr2BeSn, relaxed
data_Zr2BeSn
_cell_length_a 4.4044
_cell_length_b 4.4044
_cell_length_c 14.6752
_cell_angle_alpha 90.00
_cell_angle_beta 90.00
_cell_angle_gamma 120.00
_space_group_name_H-M_alt 'R -3 m'
_space_group_IT_number 166
_space_group_name_Hall '-R 3 2"'
loop_
_atom_site_label
_atom_site_type_symbol
_atom_site_fract_x
_atom_site_fract_y
_atom_site_fract_z
_atom_site_occupancy
Zr1 Zr 0.0000 0.0000 0.2339 1
Be1 Be 0.0000 0.0000 0.5000 1
Sn1 Sn 0.0000 0.0000 0.0000 1
# Fermi-level density of states	0.52	states/eV per atom
# crystal system	trigonal
# V	246.5	Å³ per cell
# total magnetization	0.000	μB per cell
# formation enthalpy at 0 K	-0.37	eV per formula unit
# offset from the most stable computed form	0.000	eV/atom
# DFT total energy	-6.30	eV/atom


[10]
# PBE PmVAs, relaxed
data_PmVAs
_cell_length_a 3.909
_cell_length_b 3.909
_cell_length_c 8.737
_cell_angle_alpha 90.00
_cell_angle_beta 90.00
_cell_angle_gamma 90.00
_space_group_name_H-M_alt 'I 4 m m'
_space_group_IT_number 107
_space_group_name_Hall 'I 4 -2'
loop_
_atom_site_label
_atom_site_type_symbol
_atom_site_fract_x
_atom_site_fract_y
_atom_site_fract_z
_atom_site_occupancy
Pm1 Pm 0.000 0.000 0.000 1
V1 V 0.000 0.000 0.342 1
As1 As 0.000 0.000 0.660 1
# Fermi-level density of states	1.35	states/eV per atom
# crystal system	tetragonal
# V	133.5	Å³ per cell
# total magnetization	6.680	μB per cell
# formation enthalpy at 0 K	-0.09	eV per formula unit
# offset from the most stable computed form	0.215	eV/atom
# DFT total energy	-6.20	eV/atom


[11]
# PBE SrTiPIr2, relaxed
data_SrTiPIr2
_cell_length_a 4.752
_cell_length_b 4.752
_cell_length_c 4.753
_cell_angle_alpha 90.00
_cell_angle_beta 90.00
_cell_angle_gamma 90.00
_space_group_name_H-M_alt 'P 4/m m m'
_space_group_IT_number 123
_space_group_name_Hall '-P 4 2'
loop_
_atom_site_label
_atom_site_type_symbol
_atom_site_fract_x
_atom_site_fract_y
_atom_site_fract_z
_atom_site_occupancy
Sr1 Sr 0.000 0.000 0.000 1
Ti1 Ti 0.500 0.500 0.500 1
P1 P 0.500 0.500 0.000 1
Ir1 Ir 0.000 0.500 0.500 1
# Fermi-level density of states	1.28	states/eV per atom
# crystal system	tetragonal
# V	107.3	Å³ per cell
# total magnetization	0.000	μB per cell
# formation enthalpy at 0 K	0.77	eV per formula unit
# offset from the most stable computed form	0.237	eV/atom
# DFT total energy	-6.39	eV/atom


[12]
# PBE Sc4SiGeC, relaxed
data_Sc4SiGeC
_cell_length_a 6.129
_cell_length_b 14.179
_cell_length_c 6.126
_cell_angle_alpha 90.00
_cell_angle_beta 90.00
_cell_angle_gamma 90.00
_space_group_name_H-M_alt 'C m c m'
_space_group_IT_number 63
_space_group_name_Hall '-C 2c 2'
loop_
_atom_site_label
_atom_site_type_symbol
_atom_site_fract_x
_atom_site_fract_y
_atom_site_fract_z
_atom_site_occupancy
Sc1 Sc 0.000 0.085 0.250 1
Sc2 Sc 0.000 0.413 0.250 1
Sc3 Sc 0.250 0.250 0.000 1
Si1 Si 0.000 0.112 0.750 1
Ge1 Ge 0.000 0.390 0.750 1
C1 C 0.000 0.250 0.250 1
# Fermi-level density of states	0.10	states/eV per atom
# crystal system	orthorhombic
# V	532.4	Å³ per cell
# total magnetization	0.000	μB per cell
# DFT total energy	-7.09	eV/atom
# E_form (uncorrected)	-0.72	eV/atom


[13]
# PBE Y2Ho3Al3, relaxed
data_Y2Ho3Al3
_cell_length_a 3.677
_cell_length_b 5.135
_cell_length_c 21.486
_cell_angle_alpha 90.00
_cell_angle_beta 90.00
_cell_angle_gamma 90.00
_space_group_name_H-M_alt 'I m m m'
_space_group_IT_number 71
_space_group_name_Hall '-I 2 2'
loop_
_atom_site_label
_atom_site_type_symbol
_atom_site_fract_x
_atom_site_fract_y
_atom_site_fract_z
_atom_site_occupancy
Y1 Y 0.000 0.000 0.230 1
Ho1 Ho 0.000 0.000 0.000 1
Ho2 Ho 0.000 0.500 0.119 1
Al1 Al 0.000 0.000 0.500 1
Al2 Al 0.000 0.500 0.384 1
# Fermi-level density of states	0.69	states/eV per atom
# crystal system	orthorhombic
# V	405.7	Å³ per cell
# total magnetization	0.000	μB per cell
# formation enthalpy at 0 K	-2.38	eV per formula unit
# offset from the most stable computed form	0.000	eV/atom
# DFT total energy	-5.03	eV/atom


[14]
# PBE VSbSe3, relaxed
data_VSbSe3
_cell_length_a 4.886
_cell_length_b 4.886
_cell_length_c 4.886
_cell_angle_alpha 90.00
_cell_angle_beta 90.00
_cell_angle_gamma 90.00
_space_group_name_H-M_alt 'P m -3 m'
_space_group_IT_number 221
_space_group_name_Hall '-P 4 2 3'
loop_
_atom_site_label
_atom_site_type_symbol
_atom_site_fract_x
_atom_site_fract_y
_atom_site_fract_z
_atom_site_occupancy
V1 V 0.000 0.000 0.000 1
Sb1 Sb 0.500 0.500 0.500 1
Se1 Se 0.000 0.000 0.500 1
# Fermi-level density of states	0.93	states/eV per atom
# crystal system	cubic
# V	116.6	Å³ per cell
# total magnetization	1.892	μB per cell
# DFT total energy	-4.72	eV/atom
# E_form (uncorrected)	0.02	eV/atom


[15]
# PBE Na3Sn2Ge4, relaxed
data_Na3Sn2Ge4
_cell_length_a 16.645
_cell_length_b 4.271
_cell_length_c 7.098
_cell_angle_alpha 90.00
_cell_angle_beta 110.66
_cell_angle_gamma 90.00
_space_group_name_H-M_alt 'C 1 2/m 1'
_space_group_IT_number 12
_space_group_name_Hall '-C 2y'
loop_
_atom_site_label
_atom_site_type_symbol
_atom_site_fract_x
_atom_site_fract_y
_atom_site_fract_z
_atom_site_occupancy
Na1 Na 0.000 0.000 0.000 1
Na2 Na 0.144 0.000 0.564 1
Sn1 Sn 0.160 0.500 0.944 1
Ge1 Ge 0.005 0.500 0.333 1
Ge2 Ge 0.201 0.000 0.208 1
# Fermi-level density of states	0.40	states/eV per atom
# crystal system	monoclinic
# V	472.1	Å³ per cell
# total magnetization	0.000	μB per cell
# formation enthalpy at 0 K	0.16	eV per formula unit
# DFT total energy	-3.36	eV/atom